Below is crystalline CsAsH2 at its relaxed geometry, with properties calculated at the GGA-PBE level.

Unit cell a=6.6969 b=6.6969 c=6.6969 alpha=133.31 beta=133.31 gamma=68.16
With the nearest neighbours (Å) after each atom.
Fractional coordinates of all 8 atoms:
1 Cs 0.3750 0.6250 0.7500  8 H 3.27
2 Cs 0.6250 0.3750 0.2500  8 H 3.27
3 As 0.1250 0.8750 0.2500  4 H 1.92
4 As 0.8750 0.1250 0.7500  4 H 1.92
5 H 0.0000 0.0000 0.0000  2 As 1.92
6 H 0.0000 0.0000 0.5000  2 As 1.92
7 H 0.0000 0.5000 0.0000  2 As 1.92
8 H 0.5000 0.0000 0.5000  2 As 1.92

Summary:
Its total energy is -3.021 eV/atom.


Below is crystalline K2ScTiSe4 at its relaxed geometry, with properties calculated at the GGA-PBE level.

Unit cell a=6.7177 b=6.7177 c=6.7177 alpha=105.09 beta=105.09 gamma=118.63
With the nearest neighbours (Å) after each atom.
Fractional coordinates of all 8 atoms:
1 K 0.0000 0.5000 0.5000  2 K 3.43, 8 Se 3.46-3.56
2 K 0.5000 0.0000 0.5000  2 K 3.43, 8 Se 3.46-3.56
3 Sc 0.0000 0.0000 0.0000  4 Se 2.62
4 Ti 0.5000 0.5000 0.0000  4 Se 2.48
5 Se 0.1018 0.1018 0.6734  1 Ti 2.48, 1 Sc 2.62
6 Se 0.4285 0.4285 0.3266  1 Ti 2.48, 1 Sc 2.62
7 Se 0.5715 0.8982 0.0000  1 Ti 2.48, 1 Sc 2.62
8 Se 0.8982 0.5715 0.0000  1 Ti 2.48, 1 Sc 2.62

Summary:
The calculation puts the uncorrected formation energy at -1.271 eV per atom.


Below is crystalline Ba8Sb3TeI4 at its relaxed geometry, with properties calculated at the GGA-PBE level.

Unit cell a=10.1536 b=10.1536 c=10.1536 alpha=59.84 beta=59.84 gamma=59.84
With the nearest neighbours (Å) after each atom.
Fractional coordinates of all 16 atoms:
1 Ba 0.2341 0.7433 0.7433  2 Sb 3.43, 1 Te 3.50, 3 I 3.69-3.75
2 Ba 0.2402 0.2402 0.2402  3 Sb 3.45, 3 I 3.73
3 Ba 0.2567 0.2567 0.7659  2 Sb 3.43, 1 Te 3.50, 3 I 3.69-3.75
4 Ba 0.2567 0.7659 0.2567  2 Sb 3.43, 1 Te 3.50, 3 I 3.69-3.75
5 Ba 0.7433 0.2341 0.7433  2 Sb 3.43, 1 Te 3.50, 3 I 3.69-3.75
6 Ba 0.7433 0.7433 0.2341  2 Sb 3.43, 1 Te 3.50, 3 I 3.69-3.75
7 Ba 0.7598 0.7598 0.7598  3 Sb 3.45, 3 I 3.73
8 Ba 0.7659 0.2567 0.2567  2 Sb 3.43, 1 Te 3.50, 3 I 3.69-3.75
9 Sb 0.0000 0.0000 0.5000  6 Ba 3.43-3.45
10 Sb 0.0000 0.5000 0.0000  6 Ba 3.43-3.45
11 Sb 0.5000 0.0000 0.0000  6 Ba 3.43-3.45
12 Te 0.5000 0.5000 0.5000  6 Ba 3.50
13 I 0.0000 0.0000 0.0000  6 Ba 3.69
14 I 0.0000 0.5000 0.5000  6 Ba 3.73-3.75
15 I 0.5000 0.0000 0.5000  6 Ba 3.73-3.75
16 I 0.5000 0.5000 0.0000  6 Ba 3.73-3.75

Summary:
The calculation puts the uncorrected formation energy at -1.454 eV per atom.


Below is crystalline Li3Sc3GaO8 at its relaxed geometry, with properties calculated at the GGA-PBE level.

Unit cell a=6.0450 b=6.0450 c=6.0450 alpha=62.02 beta=62.02 gamma=62.02
With the nearest neighbours (Å) after each atom.
Fractional coordinates of all 15 atoms:
1 Li 0.0000 0.5000 0.5000  6 O 2.21-2.23
2 Li 0.5000 0.0000 0.5000  6 O 2.21-2.23
3 Li 0.5000 0.5000 0.0000  6 O 2.21-2.23
4 Sc 0.0000 0.0000 0.5000  6 O 2.11-2.14
5 Sc 0.0000 0.5000 0.0000  6 O 2.11-2.14
6 Sc 0.5000 0.0000 0.0000  6 O 2.11-2.14
7 Ga 0.5000 0.5000 0.5000  6 O 2.02
8 O 0.2424 0.2424 0.2424  3 Sc 2.11, 3 Li 2.23
9 O 0.2584 0.7319 0.7319  1 Ga 2.02, 2 Sc 2.14, 2 Li 2.21
10 O 0.2681 0.2681 0.7416  1 Ga 2.02, 2 Sc 2.14, 2 Li 2.21
11 O 0.2681 0.7416 0.2681  1 Ga 2.02, 2 Sc 2.14, 2 Li 2.21
12 O 0.7319 0.2584 0.7319  1 Ga 2.02, 2 Sc 2.14, 2 Li 2.21
13 O 0.7319 0.7319 0.2584  1 Ga 2.02, 2 Sc 2.14, 2 Li 2.21
14 O 0.7416 0.2681 0.2681  1 Ga 2.02, 2 Sc 2.14, 2 Li 2.21
15 O 0.7576 0.7576 0.7576  3 Sc 2.11, 3 Li 2.23

Summary:
The calculation puts the uncorrected formation energy at -2.574 eV per atom.


Below is crystalline Er6Pb2N at its relaxed geometry, with properties calculated at the GGA-PBE level.

Unit cell a=8.1029 b=8.1029 c=5.6328 alpha=110.21 beta=110.21 gamma=49.85
With the nearest neighbours (Å) after each atom.
Fractional coordinates of all 9 atoms:
1 Er 0.1347 0.6246 0.3805  1 N 2.34
2 Er 0.2455 0.7545 0.0000  2 Pb 3.08, 5 Er 3.26-3.35, 2 N 3.31
3 Er 0.3754 0.8653 0.6195  1 N 2.34
4 Er 0.6246 0.1347 0.3805  1 N 2.34
5 Er 0.7545 0.2455 0.0000  2 Pb 3.08, 5 Er 3.26-3.35, 2 N 3.31
6 Er 0.8653 0.3754 0.6195  1 N 2.34
7 Pb 0.1902 0.1902 0.1889  4 Er 3.07-3.08
8 Pb 0.8098 0.8098 0.8111  4 Er 3.07-3.08
9 N 0.5000 0.5000 0.5000  4 Er 2.34

Summary:
The calculation puts the uncorrected formation energy at -0.117 eV per atom.


Below is crystalline Sc2ReBr at its relaxed geometry, with properties calculated at the GGA-PBE level.

Unit cell a=3.8410 b=3.8410 c=5.8138 alpha=90.00 beta=90.00 gamma=90.00
With the nearest neighbours (Å) after each atom.
Fractional coordinates of all 4 atoms:
1 Sc 0.0000 0.0000 0.0000  4 Re 2.74, 2 Br 2.87-2.94
2 Sc 0.5000 0.5000 0.3569  1 Re 2.42
3 Re 0.5000 0.5000 0.9404  1 Sc 2.42
4 Br 0.0000 0.0000 0.4943  6 Sc 2.83-2.94

Summary:
The calculation puts the uncorrected formation energy at -0.036 eV per atom.


- What is the formula in the sixth record?
  Sc2ReBr


- What is the formula in the fifth record?
  Er6Pb2N